VASP calculation (PBE-GGA) on crystalline Nd2FeGe4 at its relaxed geometry.

Properties
energy: -5.805 eV per atom
formation enthalpy at 0 K: -595 meV per atom
total moment: 1.324 μB per formula unit
calculated volume: 146.96 Å³ per cell
crystal system: orthorhombic
space-group type: Amm2

Cell lengths 8.3385, 8.3385, 4.2375 Å; angles 90.00, 90.00, 150.08 degrees
Site moments in Bohr magnetons follow the coordinates.
Atoms (fractional coordinates):
Ge: 0.2462 0.7538 0.5000  -0.01
Ge: 0.5557 0.4443 0.5000  0.00
Ge: 0.4515 0.5485 0.0000  -0.01
Ge: 0.7452 0.2548 0.0000  0.00
Nd: 0.1038 0.8962 0.0000  0.01
Nd: 0.8971 0.1029 0.5000  -0.01
Fe: 0.3056 0.6944 0.0000  1.26